1.
Material: Gd3Mg3Cu2Ir
Method: DFT, PBE-GGA
State: relaxed

The structure in POSCAR format:
```
Gd3Mg3Cu2Ir
1.0
7.301 0.000 0.000
-3.650 6.322 0.000
0.000 0.000 4.209
Cu Gd Ir Mg
2 3 1 3
Cartesian
3.650 2.107 2.105
0.000 4.215 2.105
2.956 0.000 0.000
-1.478 2.560 0.000
2.172 3.762 0.000
0.000 0.000 0.000
5.553 0.000 2.105
0.874 1.514 2.105
-2.776 4.809 2.105
```

Computed properties:
Its space group is P-62m, No. 189.

=====

2.
Material: Gd3Mg3CuIr2
Method: DFT, PBE-GGA
State: relaxed

The structure in POSCAR format:
```
Gd3Mg3CuIr2
1.0
-0.537 3.712 -6.398
-5.414 0.501 5.044
1.834 3.124 1.658
Cu Gd Ir Mg
1 3 2 3
Cartesian
0.000 0.000 0.000
-0.224 1.549 -2.669
-2.259 0.209 2.104
-3.468 2.455 -0.789
-1.246 4.203 -1.755
-2.871 3.133 2.059
0.512 4.359 -3.992
-0.550 2.600 0.495
-3.162 1.939 4.629
```

Computed properties:
Its space group is P-62m, No. 189.

=====

3.
Material: NdGd2CuSn3Ir2
Method: DFT, PBE-GGA
State: relaxed

The structure in POSCAR format:
```
NdGd2CuSn3Ir2
1.0
-0.354 3.961 0.617
1.555 -1.000 7.308
5.562 1.265 -4.929
Cu Gd Ir Nd Sn
1 2 2 1 3
Cartesian
7.098 0.264 2.373
0.921 -0.589 4.311
3.283 0.746 -2.905
2.709 1.729 3.574
4.067 2.497 -0.573
2.925 0.109 0.978
2.794 1.305 6.347
5.133 2.178 2.084
5.771 2.988 -2.748
```

Computed properties:
Its space group is Amm2, No. 38.

=====

4.
Material: TbGd2CuSn3Ir2
Method: DFT, PBE-GGA
State: relaxed

The structure in POSCAR format:
```
TbGd2CuSn3Ir2
1.0
3.960 0.000 0.000
0.000 6.506 3.761
0.000 -6.506 3.761
Cu Gd Ir Sn Tb
1 2 2 3 1
Cartesian
0.000 0.000 7.518
0.000 2.653 1.534
0.000 -2.653 1.534
1.980 2.161 3.763
1.980 -2.161 3.763
1.980 0.000 1.940
1.980 1.675 6.551
1.980 -1.675 6.551
0.000 0.000 4.455
```

Computed properties:
Its space group is Amm2, No. 38.

=====

5.
Material: KGdCu
Method: DFT, PBE-GGA
State: relaxed

The structure in POSCAR format:
```
KGdCu
1.0
-3.023 -2.297 3.356
-4.537 -1.733 -1.447
-0.820 -4.990 -0.329
Cu Gd K
1 1 1
Cartesian
0.000 0.000 0.000
-2.095 -2.255 0.395
-6.284 -6.765 1.186
```

Computed properties:
The value obtained for the polymorph energy (0 for the lowest one) is 0.000 kcal/mol of atoms. Its space group is F-43m, No. 216.

=====

6.
Material: KGdCuSe3
Method: DFT, PBE-GGA
State: relaxed

The structure in POSCAR format:
```
KGdCuSe3
1.0
10.922 0.000 0.000
0.000 4.070 0.000
0.000 0.000 14.573
Cu Gd K Se
4 4 4 12
Cartesian
2.563 3.053 3.161
8.024 3.053 4.125
2.898 1.018 10.447
8.359 1.018 11.412
5.272 1.018 3.535
10.733 1.018 3.751
0.189 3.053 10.821
5.650 3.053 11.038
8.483 3.053 0.038
3.022 3.053 7.248
7.900 1.018 7.325
2.439 1.018 14.534
4.491 3.053 1.671
0.524 3.053 1.835
8.040 1.018 2.692
2.579 1.018 4.594
5.985 3.053 5.451
9.952 3.053 5.616
0.970 1.018 8.957
4.937 1.018 9.122
8.343 3.053 9.979
2.882 3.053 11.880
10.398 1.018 12.737
6.431 1.018 12.902
```

Computed properties:
The value obtained for the polymorph energy (0 for the lowest one) is 0.068 kcal/mol of atoms. Its space group is Pnma, No. 62.

=====

7.
Material: KGdCuSe3
Method: DFT, PBE-GGA
State: relaxed

The structure in POSCAR format:
```
KGdCuSe3
1.0
9.126 0.000 0.000
0.000 4.095 0.000
-3.126 0.000 9.148
Cu Gd K Se
2 2 2 6
Cartesian
0.465 1.024 0.909
5.534 3.071 8.239
1.820 3.071 3.254
4.180 1.024 5.894
6.386 3.071 2.376
-0.386 1.024 6.772
1.675 3.071 0.283
3.852 1.024 3.043
-0.191 1.024 3.257
6.190 3.071 5.892
2.147 3.071 6.105
4.324 1.024 8.866
```

Computed properties:
The value obtained for the polymorph energy (0 for the lowest one) is 0.000 kcal/mol of atoms. Its space group is P2_1/m, No. 11.

=====

8.
Material: KGdCuSe3
Method: DFT, PBE-GGA
State: relaxed

The structure in POSCAR format:
```
KGdCuSe3
1.0
2.021 -7.416 0.000
2.021 7.416 0.000
0.000 0.000 10.787
Cu Gd K Se
2 2 2 6
Cartesian
2.021 0.471 2.697
2.021 -0.471 8.090
0.000 0.000 0.000
0.000 0.000 5.394
2.021 -3.653 2.697
2.021 3.653 8.090
2.021 1.914 0.735
2.021 6.413 2.697
2.021 1.914 4.659
2.021 -1.914 6.128
2.021 -6.413 8.090
2.021 -1.914 10.053
```

Computed properties:
The value obtained for the polymorph energy (0 for the lowest one) is 0.041 kcal/mol of atoms. Its space group is Cmcm, No. 63.

=====

9.
Material: KSmGdCu2
Method: DFT, PBE-GGA
State: relaxed

The structure in POSCAR format:
```
KSmGdCu2
1.0
-1.488 2.785 2.136
-4.774 -6.104 4.632
-1.063 -5.807 6.831
Cu Gd K Sm
2 1 1 1
Cartesian
-1.218 -2.485 2.392
-4.630 -9.448 9.092
-2.676 -2.549 4.861
-5.831 -11.899 11.451
-4.645 -6.567 8.728
```

Computed properties:
Its space group is Amm2, No. 38.

=====

10.
Material: LaGdCu
Method: DFT, PBE-GGA
State: relaxed

The structure in POSCAR format:
```
LaGdCu
1.0
4.705 -0.599 -1.450
2.286 -4.340 0.728
1.051 -2.928 -3.862
Cu Gd La
1 1 1
Cartesian
0.000 0.000 0.000
2.010 -1.967 -1.146
6.031 -5.900 -3.438
```

Computed properties:
The value obtained for the polymorph energy (0 for the lowest one) is 0.000 kcal/mol of atoms. The formation enthalpy at 0 K comes out at 98 meV/atom. Its space group is F-43m, No. 216.

=====

11.
Material: LaGd2Mg3Cu3
Method: DFT, PBE-GGA
State: relaxed

The structure in POSCAR format:
```
LaGd2Mg3Cu3
1.0
4.086 0.000 0.000
0.000 6.494 3.785
0.000 -6.494 3.785
Cu Gd La Mg
3 2 1 3
Cartesian
2.043 0.000 0.034
0.000 2.217 3.763
0.000 -2.217 3.763
2.043 3.799 5.353
2.043 -3.799 5.353
2.043 0.000 4.426
0.000 4.910 2.903
0.000 0.000 1.781
0.000 -4.910 2.903
```

Computed properties:
Its space group is Amm2, No. 38.

=====

12.
Material: LaGdCu2P4
Method: DFT, PBE-GGA
State: relaxed

The structure in POSCAR format:
```
LaGdCu2P4
1.0
-2.176 2.495 -1.835
-2.157 -2.830 -1.291
-5.881 0.802 8.063
Cu Gd La P
2 1 1 4
Cartesian
-3.996 1.644 3.069
-3.986 -1.019 3.341
-3.555 0.022 0.340
-4.521 0.617 6.198
-1.147 1.256 -0.836
-1.138 -1.407 -0.564
-2.042 0.279 2.799
-5.923 0.345 3.587
```

Computed properties:
Its space group is P4mm, No. 99.

=====

13.
Material: LaGdCu2Si2
Method: DFT, PBE-GGA
State: relaxed

The structure in POSCAR format:
```
LaGdCu2Si2
1.0
4.201 0.000 0.000
-2.100 3.638 0.000
0.000 0.000 7.894
Cu Gd La Si
2 1 1 2
Cartesian
0.000 2.425 2.112
2.100 1.213 5.782
0.000 0.000 3.947
0.000 0.000 0.000
2.100 1.213 2.079
0.000 2.425 5.815
```

Computed properties:
Its space group is P-3m1, No. 164.

=====

14.
Material: LiGdCu4
Method: DFT, PBE-GGA
State: relaxed

The structure in POSCAR format:
```
LiGdCu4
1.0
-3.474 0.368 3.650
-1.054 4.501 2.040
-4.435 2.227 -0.949
Cu Gd Li
4 1 1
Cartesian
-3.347 2.649 1.770
-3.881 4.929 2.803
-5.106 2.836 3.619
-5.593 3.778 1.289
-6.722 5.322 3.556
0.000 0.000 0.000
```

Computed properties:
Its space group is F-43m, No. 216.

=====

15.
Material: Li2GdCuP2
Method: DFT, PBE-GGA
State: relaxed

The structure in POSCAR format:
```
Li2GdCuP2
1.0
4.075 0.000 0.000
-2.038 3.529 0.000
0.000 0.000 6.464
Cu Gd Li P
1 1 2 2
Cartesian
0.000 0.000 3.232
0.000 0.000 0.000
0.000 2.353 2.299
2.038 1.176 4.165
2.038 1.176 1.673
0.000 2.353 4.791
```

Computed properties:
Its space group is P-3m1, No. 164.

=====

16.
Material: GdLu2Cu4Si4
Method: DFT, PBE-GGA
State: relaxed

The structure in POSCAR format:
```
GdLu2Cu4Si4
1.0
-2.034 3.272 6.768
2.034 -3.272 6.768
2.034 3.272 -6.768
Cu Gd Lu Si
4 1 2 4
Cartesian
0.000 2.017 4.470
0.000 2.017 9.066
2.034 1.255 2.298
2.034 1.255 -2.298
0.000 0.000 0.000
0.000 3.272 1.740
2.034 0.000 5.029
0.000 0.000 2.956
0.000 0.000 10.581
0.000 1.196 6.768
2.034 2.076 0.000
```

Computed properties:
Its space group is Immm, No. 71.

=====

17.
Material: Nd2GdMg3CuPd2
Method: DFT, PBE-GGA
State: relaxed

The structure in POSCAR format:
```
Nd2GdMg3CuPd2
1.0
4.090 0.000 0.000
0.000 6.584 3.809
0.000 -6.584 3.809
Cu Gd Mg Nd Pd
1 1 3 2 2
Cartesian
0.000 0.000 0.030
0.000 0.000 3.139
2.045 1.568 0.922
2.045 -1.568 0.922
2.045 0.000 5.781
0.000 3.861 2.236
0.000 -3.861 2.236
2.045 2.149 3.795
2.045 -2.149 3.795
```

Computed properties:
Its space group is Amm2, No. 38.

=====

18.
Material: Gd3Mg3Cu2Pd
Method: DFT, PBE-GGA
State: relaxed

The structure in POSCAR format:
```
Gd3Mg3Cu2Pd
1.0
7.501 0.000 0.000
-3.751 6.496 0.000
0.000 0.000 4.060
Cu Gd Mg Pd
2 3 3 1
Cartesian
3.751 2.165 2.030
0.000 4.331 2.030
3.115 0.000 0.000
-1.557 2.697 0.000
2.193 3.799 0.000
5.684 0.000 2.030
0.909 1.574 2.030
-2.842 4.922 2.030
0.000 0.000 0.000
```

Computed properties:
Its space group is P-62m, No. 189.

=====

19.
Material: Gd3Mg3CuPd2
Method: DFT, PBE-GGA
State: relaxed

The structure in POSCAR format:
```
Gd3Mg3CuPd2
1.0
7.523 0.000 0.000
-3.762 6.515 0.000
0.000 0.000 4.048
Cu Gd Mg Pd
1 3 3 2
Cartesian
0.000 0.000 2.024
3.112 0.000 2.024
-1.556 2.695 2.024
2.206 3.820 2.024
5.698 0.000 0.000
0.913 1.581 0.000
-2.849 4.935 0.000
3.762 2.172 0.000
0.000 4.344 0.000
```

Computed properties:
Its space group is P-62m, No. 189.

=====

20.
Material: Gd2YMg3CuPd2
Method: DFT, PBE-GGA
State: relaxed

The structure in POSCAR format:
```
Gd2YMg3CuPd2
1.0
-3.701 1.130 -1.065
-1.949 0.441 7.243
2.843 6.004 -3.510
Cu Gd Mg Pd Y
1 2 3 2 1
Cartesian
-1.851 0.565 -0.532
-2.992 0.824 3.712
-0.185 4.084 -2.588
-0.470 0.113 1.755
0.688 1.458 -0.845
0.676 4.873 2.823
-0.352 2.295 3.662
1.247 4.152 0.073
-1.481 3.229 1.011
```

Computed properties:
Its space group is Amm2, No. 38.

=====

21.
Material: Gd3Mg3Cu2Pt
Method: DFT, PBE-GGA
State: relaxed

The structure in POSCAR format:
```
Gd3Mg3Cu2Pt
1.0
-0.391 7.259 1.324
-1.665 -4.825 5.343
3.966 -0.010 1.227
Cu Gd Mg Pt
2 3 3 1
Cartesian
-0.816 3.231 2.664
-1.241 -0.797 4.003
1.753 4.275 1.394
1.139 0.994 3.350
1.001 -2.850 3.764
-0.094 1.751 0.319
-0.402 -1.164 1.289
-1.560 1.847 5.059
1.983 -0.005 0.614
```

Computed properties:
Its space group is P-62m, No. 189.

=====

22.
Material: GdMgCuTeS2
Method: DFT, PBE-GGA
State: relaxed

The structure in POSCAR format:
```
GdMgCuTeS2
1.0
-0.128 6.715 -1.317
0.042 -4.963 4.713
10.858 0.237 0.153
Cu Gd Mg S Te
2 2 2 4 2
Cartesian
2.674 0.739 1.837
8.098 1.250 1.711
0.000 0.000 0.000
5.429 0.118 0.076
2.620 4.486 -0.098
8.152 -2.497 3.646
0.941 -0.643 2.507
4.447 -0.567 2.556
6.326 2.556 0.992
9.831 2.632 1.042
2.736 -3.492 4.022
8.037 5.481 -0.473
```

Computed properties:
Its space group is Cmcm, No. 63.

=====

23.
Material: GdMgCuTeSe2
Method: DFT, PBE-GGA
State: relaxed

The structure in POSCAR format:
```
GdMgCuTeSe2
1.0
1.965 -6.693 0.000
1.965 6.693 0.000
0.000 0.000 11.018
Cu Gd Mg Se Te
2 2 2 4 2
Cartesian
1.965 -6.405 2.755
1.965 6.405 8.264
1.965 0.000 0.000
1.965 0.000 5.509
1.965 2.715 2.755
1.965 -2.715 8.264
1.965 -4.787 0.900
1.965 -4.787 4.609
1.965 4.787 6.409
1.965 4.787 10.119
1.965 -1.498 2.755
1.965 1.498 8.264
```

Computed properties:
Its space group is Cmcm, No. 63.

=====

Total energy readings, ordered: -37.89 -44.74 -53.86 -53.90 -7.75 -107.99 -54.03 -54.01 -17.89 -13.00 -31.80 -45.62 -31.73 -22.58 -27.64 -57.26 -37.52 -34.39 -37.48 -39.32 -36.01 -56.17 -52.64 eV per cell